1.
The following is a DFT calculation (PBE) of NdP4N8 after structural relaxation.

Cell and atoms, written as CIF:
```
data_NdP4N8
_chemical_formula_sum 'Nd1 P4 N8'
_space_group_name_H-M_alt 'P -3 1 m'
_space_group_IT_number 162
_space_group_name_Hall '-P 3 2'
_cell_length_a 4.9641
_cell_length_b 4.9641
_cell_length_c 8.2322
_cell_angle_alpha 90.00
_cell_angle_beta 90.00
_cell_angle_gamma 120.00
loop_
_atom_site_label
_atom_site_type_symbol
_atom_site_fract_x
_atom_site_fract_y
_atom_site_fract_z
Nd1 Nd 0.0000 0.0000 0.0000
P1 P 0.3333 0.6667 0.1999
N1 N 0.0000 0.3747 0.7469
N2 N 0.3333 0.6667 0.0000
```

formation energy without anion corrections	-0.421	eV/atom
mass density	3.6	g/cm³
calculated total energy	-0.278	hartree per atom

***

2.
The following is a DFT calculation (PBE) of Nd2PN3 after structural relaxation.

Cell and atoms, written as CIF:
```
data_Nd2PN3
_chemical_formula_sum 'Nd4 P2 N6'
_space_group_name_H-M_alt 'P -1'
_space_group_IT_number 2
_cell_length_a 4.882
_cell_length_b 5.767
_cell_length_c 8.180
_cell_angle_alpha 105.58
_cell_angle_beta 94.28
_cell_angle_gamma 114.39
loop_
_space_group_symop_operation_xyz
'x,y,z'
'-x,-y,-z'
loop_
_atom_site_label
_atom_site_type_symbol
_atom_site_fract_x
_atom_site_fract_y
_atom_site_fract_z
Nd1 Nd 0.117 0.179 0.364
Nd2 Nd 0.314 0.648 0.901
P1 P 0.366 0.739 0.307
N1 N 0.038 0.741 0.360
N2 N 0.240 0.442 0.138
N3 N 0.474 0.005 0.777
```

formation energy without anion corrections	-1.080	eV/atom
mass density	6.1	g/cm³
calculated total energy	-0.284	hartree per atom

***

3.
The following is a DFT calculation (PBE) of NdP4N7 after structural relaxation.

Cell and atoms, written as CIF:
```
data_NdP4N7
_chemical_formula_sum 'Nd2 P8 N14'
_space_group_name_H-M_alt 'P m n 21'
_space_group_IT_number 31
_cell_length_a 12.608
_cell_length_b 4.613
_cell_length_c 4.620
_cell_angle_alpha 90.00
_cell_angle_beta 90.00
_cell_angle_gamma 90.00
loop_
_space_group_symop_operation_xyz
'x,y,z'
'-x+1/2,-y,z+1/2'
'-x,y,z'
'x+1/2,-y,z+1/2'
loop_
_atom_site_label
_atom_site_type_symbol
_atom_site_fract_x
_atom_site_fract_y
_atom_site_fract_z
Nd1 Nd 0.000 0.241 0.000
P1 P 0.112 0.706 0.511
P2 P 0.245 0.783 0.031
N1 N 0.000 0.798 0.660
N2 N 0.117 0.811 0.177
N3 N 0.125 0.355 0.552
N4 N 0.215 0.880 0.679
```

formation energy without anion corrections	-0.333	eV/atom
mass density	4.5	g/cm³
calculated total energy	-0.272	hartree per atom

***

4.
The following is a DFT calculation (PBE) of NdPaP2N6 after structural relaxation.

Cell and atoms, written as CIF:
```
data_NdPaP2N6
_chemical_formula_sum 'Nd4 Pa4 P8 N24'
_space_group_name_H-M_alt 'C 1 2/c 1'
_space_group_IT_number 15
_cell_length_a 7.889
_cell_length_b 11.084
_cell_length_c 7.031
_cell_angle_alpha 90.00
_cell_angle_beta 104.69
_cell_angle_gamma 90.00
loop_
_space_group_symop_operation_xyz
'x,y,z'
'-x,-y,-z'
'-x,y,-z+1/2'
'x,-y,z+1/2'
'x+1/2,y+1/2,z'
'-x+1/2,-y+1/2,-z'
'-x+1/2,y+1/2,-z+1/2'
'x+1/2,-y+1/2,z+1/2'
loop_
_atom_site_label
_atom_site_type_symbol
_atom_site_fract_x
_atom_site_fract_y
_atom_site_fract_z
Nd1 Nd 0.000 0.091 0.250
Pa1 Pa 0.000 0.429 0.750
P1 P 0.241 0.342 0.241
N1 N 0.077 0.396 0.080
N2 N 0.159 0.061 0.611
N3 N 0.223 0.297 0.751
```

formation energy without anion corrections	-0.863	eV/atom
mass density	5.8	g/cm³
calculated total energy	-0.307	hartree per atom